(1)
## Dy12Er7Tm (GGA-PBE)

Data for a geometry-optimized Dy12Er7Tm structure.

POSCAR file:
```
Dy12Er7Tm
1.0
6.346 3.664 4.526
-6.346 3.664 4.526
0.000 -7.328 4.526
Dy Er Tm
12 7 1
Cartesian
-2.099 0.753 2.075
0.397 -2.195 2.075
-0.810 -3.656 5.662
-3.571 -1.126 7.916
-2.761 2.530 5.662
1.702 1.441 2.075
-1.702 -1.441 11.503
2.761 -2.530 7.916
3.571 1.126 5.662
0.810 3.656 7.916
-0.397 2.195 11.503
2.099 -0.753 11.503
0.000 0.000 0.000
-2.096 -0.753 4.726
1.701 -1.439 4.726
0.396 2.192 4.726
-0.396 -2.192 8.851
-1.701 1.439 8.851
2.096 0.753 8.851
0.000 0.000 6.789
```

Properties
Energy relative to the elements in meV/atom: 301
Symmetry: R-3 (148)
Polymorph energy (0 for the lowest one) in meV per atom: 0
Volume in Å³ per atom: 31.57
D(E_F) in states/eV per atom: 0.911



(2)
## Sm2Dy3Y7 (GGA-PBE)

Data for a geometry-optimized Sm2Dy3Y7 structure.

POSCAR file:
```
Sm2Dy3Y7
1.0
2.925 -18.849 0.000
2.925 18.849 0.000
0.000 0.000 3.605
Sm Dy Y
2 3 7
Cartesian
2.925 12.238 0.000
2.925 -12.238 0.000
2.925 5.629 1.803
2.925 0.000 1.803
2.925 -5.629 1.803
0.000 0.000 0.000
2.925 15.480 1.803
2.925 8.630 0.000
2.925 2.721 0.000
2.925 -2.721 0.000
2.925 -8.630 0.000
2.925 -15.480 1.803
```

Properties
Energy relative to the elements in meV/atom: 158
Symmetry: Cmmm (65)
Polymorph energy (0 for the lowest one) in meV per atom: 70
Volume in Å³ per atom: 33.13
D(E_F) in states/eV per atom: 1.774



Number 2 is which compound? Sm2Dy3Y7